# 1
Crystalline Ac2GaPd2 at its relaxed geometry. Source: Alexandria, functional GGA-PBE.

Cell and atoms, written as POSCAR:
```
Ac2GaPd2
1.0
-1.739 -1.680 -3.672
-5.058 -3.545 1.385
-6.438 7.386 -2.962
Pd Ga Ac
4 2 4
direct
0.366 0.144 0.124
0.634 0.856 0.876
0.080 0.275 0.566
0.920 0.725 0.434
0.632 0.094 0.641
0.368 0.906 0.359
0.925 0.261 0.889
0.075 0.739 0.111
0.327 0.683 0.664
0.673 0.317 0.336
```

Computed properties:
The crystal system is monoclinic. Its formation energy is -369.9 kJ/mol of formula units. As for the space group: C2/m (12). Its density is 9.38 Mg/m³.

***

# 2
Crystalline Ac3Ga3Pd2 at its relaxed geometry. Source: Alexandria, functional GGA-PBE.

Cell and atoms, written as POSCAR:
```
Ac3Ga3Pd2
1.0
4.488 0.000 0.000
-2.244 5.698 0.000
0.000 0.000 16.189
Ga Pd Ac
6 4 6
direct
0.637 0.275 0.750
0.345 0.690 0.964
0.655 0.310 0.464
0.655 0.310 0.036
0.345 0.690 0.536
0.363 0.725 0.250
0.223 0.445 0.109
0.223 0.445 0.391
0.777 0.555 0.891
0.777 0.555 0.609
0.066 0.132 0.606
0.066 0.132 0.894
0.934 0.868 0.106
0.934 0.868 0.394
0.344 0.688 0.750
0.656 0.312 0.250
```

Computed properties:
The crystal system is orthorhombic. Its formation energy is -532.8 kJ/mol of formula units. As for the space group: Cmcm (63). Its density is 8.85 Mg/m³.

***

# 3
Crystalline AcGaPd4 at its relaxed geometry. Source: Alexandria, functional GGA-PBE.

Cell and atoms, written as POSCAR:
```
AcGaPd4
1.0
6.005 0.032 2.037
1.188 6.359 1.591
0.246 0.032 6.336
Ga Pd Ac
2 8 2
direct
0.582 0.247 0.582
0.418 0.753 0.418
0.287 0.000 0.713
0.176 0.766 0.176
0.713 0.000 0.287
0.824 0.234 0.824
0.184 0.441 0.577
0.577 0.441 0.184
0.423 0.559 0.816
0.816 0.559 0.423
0.166 0.220 0.166
0.834 0.780 0.834
```

Computed properties:
The crystal system is monoclinic. Its formation energy is -399.2 kJ/mol of formula units. As for the space group: C2/m (12). Its density is 10.07 Mg/m³.

***

# 4
Crystalline Ac5GaPd2 at its relaxed geometry. Source: Alexandria, functional GGA-PBE.

Cell and atoms, written as POSCAR:
```
Ac5GaPd2
1.0
7.627 0.000 -3.600
-1.700 7.435 -3.600
-0.226 -0.283 9.401
Ac Pd Ga
10 4 2
direct
0.195 0.019 0.714
0.805 0.981 0.286
0.000 0.000 0.000
0.981 0.481 0.286
0.500 0.500 0.000
0.695 0.195 0.714
0.481 0.305 0.286
0.519 0.695 0.714
0.305 0.805 0.286
0.019 0.519 0.714
0.870 0.630 0.000
0.370 0.870 0.000
0.630 0.130 0.000
0.130 0.370 0.000
0.250 0.250 0.500
0.750 0.750 0.500
```

Computed properties:
The crystal system is tetragonal. Its formation energy is -392.2 kJ/mol of formula units. As for the space group: I4/mcm (140). Its density is 9.10 Mg/m³.

***

# 5
Crystalline AcGa12Pd4 at its relaxed geometry. Source: Alexandria, functional GGA-PBE.

Cell and atoms, written as POSCAR:
```
AcGa12Pd4
1.0
7.695 0.000 0.000
-2.565 7.255 0.000
-2.565 -3.628 6.283
Pd Ga Ac
4 12 1
direct
0.500 0.000 0.000
0.000 0.000 0.500
0.000 0.500 0.000
0.500 0.500 0.500
0.507 0.156 0.351
0.156 0.351 0.507
0.156 0.649 0.805
0.195 0.844 0.351
0.351 0.195 0.844
0.649 0.805 0.156
0.493 0.844 0.649
0.844 0.649 0.493
0.805 0.156 0.649
0.649 0.493 0.844
0.844 0.351 0.195
0.351 0.507 0.156
0.000 0.000 0.000
```

Computed properties:
The crystal system is cubic. Its formation energy is -471.8 kJ/mol of formula units. As for the space group: Im-3 (204). Its density is 7.05 Mg/m³.

***

# 6
Crystalline Ac2Ga6Pd3 at its relaxed geometry. Source: Alexandria, functional GGA-PBE.

Cell and atoms, written as POSCAR:
```
Ac2Ga6Pd3
1.0
-2.491 -3.577 -0.036
5.307 -3.741 4.485
-5.868 4.052 3.380
Pd Ga Ac
3 6 2
direct
0.500 0.000 0.635
0.500 0.635 0.000
0.500 0.365 0.365
0.500 0.301 0.000
0.500 0.000 0.301
0.000 0.000 0.810
0.000 0.810 0.000
0.500 0.699 0.699
0.000 0.190 0.190
0.000 0.667 0.333
0.000 0.333 0.667
```

Computed properties:
The crystal system is hexagonal. Its formation energy is -704.8 kJ/mol of formula units. As for the space group: P-62m (189). Its density is 8.42 Mg/m³.

***

# 7
Crystalline AcGa2Pd6 at its relaxed geometry. Source: Alexandria, functional GGA-PBE.

Cell and atoms, written as POSCAR:
```
AcGa2Pd6
1.0
8.122 0.000 0.000
4.061 7.034 0.000
4.061 2.345 6.632
Ac Ga Pd
2 4 12
direct
0.750 0.750 0.750
0.500 0.500 0.500
0.125 0.125 0.125
0.625 0.125 0.125
0.125 0.125 0.625
0.125 0.625 0.125
0.497 0.003 0.497
0.753 0.753 0.247
0.497 0.003 0.003
0.003 0.003 0.497
0.003 0.497 0.497
0.497 0.497 0.003
0.247 0.247 0.753
0.003 0.497 0.003
0.753 0.247 0.753
0.753 0.247 0.247
0.247 0.753 0.247
0.247 0.753 0.753
```

Computed properties:
The crystal system is cubic. Its formation energy is -331.3 kJ/mol of formula units. As for the space group: Fd-3m (227). Its density is 8.81 Mg/m³.

***

# 8
Crystalline Ac6Ga2Pd at its relaxed geometry. Source: Alexandria, functional GGA-PBE.

Cell and atoms, written as POSCAR:
```
Ac6Ga2Pd
1.0
7.138 0.000 0.346
0.000 8.631 0.000
-0.378 0.000 10.693
Ac Pd Ga
12 2 4
direct
0.858 0.957 0.240
0.348 0.827 0.063
0.152 0.327 0.437
0.646 0.183 0.570
0.642 0.457 0.260
0.358 0.543 0.740
0.146 0.317 0.070
0.354 0.817 0.430
0.142 0.043 0.760
0.652 0.173 0.937
0.848 0.673 0.563
0.854 0.683 0.930
0.000 0.000 0.500
0.500 0.500 0.000
0.439 0.117 0.251
0.061 0.617 0.249
0.561 0.883 0.749
0.939 0.383 0.751
```

Computed properties:
The crystal system is monoclinic. Its formation energy is -291.5 kJ/mol of formula units. As for the space group: P2_1/c (14). Its density is 8.09 Mg/m³.

***

# 9
Crystalline AcGa3Pd2 at its relaxed geometry. Source: Alexandria, functional GGA-PBE.

Cell and atoms, written as POSCAR:
```
AcGa3Pd2
1.0
5.619 0.000 0.000
-2.810 4.866 0.000
0.000 0.000 8.601
Pd Ga Ac
4 6 2
direct
0.333 0.667 0.500
0.333 0.667 0.000
0.667 0.333 0.000
0.667 0.333 0.500
0.500 0.500 0.250
0.500 0.000 0.250
0.000 0.500 0.750
0.500 0.000 0.750
0.000 0.500 0.250
0.500 0.500 0.750
0.000 0.000 0.000
0.000 0.000 0.500
```

Computed properties:
The crystal system is hexagonal. Its formation energy is -418.6 kJ/mol of formula units. As for the space group: P6/mmm (191). Its density is 9.16 Mg/m³.

***

# 10
Crystalline Ac6GaPd2 at its relaxed geometry. Source: Alexandria, functional GGA-PBE.

Cell and atoms, written as POSCAR:
```
Ac6GaPd2
1.0
9.341 -0.163 0.005
-3.689 8.583 -0.005
-3.033 -4.071 7.842
Ac Ga Pd
12 2 4
direct
0.187 0.762 0.949
0.309 0.642 0.333
0.309 0.976 0.667
0.459 0.285 0.174
0.187 0.238 0.426
0.691 0.024 0.333
0.541 0.715 0.826
0.111 0.285 0.826
0.691 0.358 0.667
0.813 0.238 0.051
0.889 0.715 0.174
0.813 0.762 0.574
0.000 0.500 0.500
0.000 0.000 0.000
0.500 0.371 0.871
0.500 0.629 0.129
0.331 0.000 0.331
0.669 0.000 0.669
```

Computed properties:
The crystal system is orthorhombic. Its formation energy is -382.6 kJ/mol of formula units. As for the space group: Immm (71). Its density is 8.75 Mg/m³.

***

# 11
Crystalline Ac2Ga4Pd5 at its relaxed geometry. Source: Alexandria, functional GGA-PBE.

Cell and atoms, written as POSCAR:
```
Ac2Ga4Pd5
1.0
5.673 0.000 0.000
2.836 6.546 -0.617
2.836 1.019 6.061
Ga Pd Ac
4 5 2
direct
0.637 0.920 0.807
0.226 0.457 0.091
0.363 0.080 0.193
0.774 0.543 0.909
0.000 0.500 0.500
0.277 0.769 0.165
0.211 0.231 0.835
0.723 0.231 0.835
0.789 0.769 0.165
0.301 0.763 0.636
0.699 0.237 0.364
```

Computed properties:
The crystal system is monoclinic. Its formation energy is -685.9 kJ/mol of formula units. As for the space group: C2/m (12). Its density is 9.19 Mg/m³.

***

# 12
Crystalline Ac2Ga3Pd6 at its relaxed geometry. Source: Alexandria, functional GGA-PBE.

Cell and atoms, written as POSCAR:
```
Ac2Ga3Pd6
1.0
-1.222 -4.327 -0.097
2.398 -0.514 -7.241
4.825 -1.492 5.740
Pd Ac Ga
6 2 3
direct
0.500 0.000 0.297
0.500 0.297 0.000
0.000 0.208 0.208
0.500 0.703 0.703
0.000 0.792 0.000
0.000 0.000 0.792
0.000 0.333 0.667
0.000 0.667 0.333
0.500 0.635 0.000
0.500 0.000 0.635
0.500 0.365 0.365
```

Computed properties:
The crystal system is hexagonal. Its formation energy is -728.9 kJ/mol of formula units. As for the space group: P-62m (189). Its density is 9.49 Mg/m³.

***

# 13
Crystalline AcGaPd2 at its relaxed geometry. Source: Alexandria, functional GGA-PBE.

Cell and atoms, written as POSCAR:
```
AcGaPd2
1.0
3.474 0.000 0.000
0.000 3.474 0.000
0.000 0.000 6.954
Pd Ga Ac
2 1 1
direct
0.000 0.000 0.195
0.000 0.000 0.805
0.500 0.500 0.000
0.500 0.500 0.500
```

Computed properties:
The crystal system is tetragonal. Its formation energy is -202.5 kJ/mol of formula units. As for the space group: P4/mmm (123). Its density is 10.08 Mg/m³.

***

# 14
Crystalline AcGa6Pd12 at its relaxed geometry. Source: Alexandria, functional GGA-PBE.

Cell and atoms, written as POSCAR:
```
AcGa6Pd12
1.0
7.251 -0.086 -0.121
-1.881 7.003 -0.121
-1.881 -2.422 6.572
Pd Ga Ac
12 6 1
direct
0.878 0.122 0.500
0.583 0.835 0.583
0.583 0.583 0.835
0.417 0.165 0.417
0.122 0.878 0.500
0.165 0.417 0.417
0.417 0.417 0.165
0.835 0.583 0.583
0.500 0.122 0.878
0.500 0.878 0.122
0.878 0.500 0.122
0.122 0.500 0.878
0.300 0.738 0.738
0.738 0.300 0.738
0.262 0.700 0.262
0.738 0.738 0.300
0.700 0.262 0.262
0.262 0.262 0.700
0.000 0.000 0.000
```

Computed properties:
The crystal system is trigonal. Its formation energy is -1135.3 kJ/mol of formula units. As for the space group: R-3m (166). Its density is 9.72 Mg/m³.

***

# 15
Crystalline Ac4Ga5Pd3 at its relaxed geometry. Source: Alexandria, functional GGA-PBE.

Cell and atoms, written as POSCAR:
```
Ac4Ga5Pd3
1.0
4.691 0.000 0.000
2.345 7.703 0.481
2.345 3.014 9.182
Ga Pd Ac
5 3 4
direct
0.500 0.500 0.500
0.289 0.428 0.994
0.414 0.075 0.096
0.711 0.572 0.006
0.586 0.925 0.904
0.611 0.147 0.631
0.000 0.500 0.500
0.389 0.853 0.369
0.757 0.176 0.310
0.045 0.733 0.178
0.955 0.267 0.822
0.243 0.824 0.690
```

Computed properties:
The crystal system is monoclinic. Its formation energy is -689.8 kJ/mol of formula units. As for the space group: C2/m (12). Its density is 8.05 Mg/m³.

***

# 16
Crystalline AcGaPd2 at its relaxed geometry. Source: Alexandria, functional GGA-PBE.

Cell and atoms, written as POSCAR:
```
AcGaPd2
1.0
-1.650 2.730 3.050
-1.572 -5.797 4.339
9.814 0.786 4.607
Pd Ga Ac
8 4 4
direct
0.250 0.787 0.437
0.750 0.713 0.937
0.750 0.132 0.188
0.750 0.632 0.312
0.250 0.868 0.812
0.250 0.287 0.063
0.250 0.368 0.688
0.750 0.213 0.563
0.750 0.965 0.394
0.750 0.465 0.106
0.250 0.035 0.606
0.250 0.535 0.894
0.250 0.835 0.140
0.250 0.335 0.360
0.750 0.665 0.640
0.750 0.165 0.860
```

Computed properties:
The crystal system is orthorhombic. Its formation energy is -322.0 kJ/mol of formula units. As for the space group: Pnma (62). Its density is 9.52 Mg/m³.

***

# 17
Crystalline Ac2GaPd4 at its relaxed geometry. Source: Alexandria, functional GGA-PBE.

Cell and atoms, written as POSCAR:
```
Ac2GaPd4
1.0
-3.066 3.280 -1.554
-3.502 -2.138 2.396
4.849 3.840 5.802
Ac Pd Ga
2 4 1
direct
0.646 0.646 0.291
0.354 0.354 0.709
0.159 0.159 0.317
0.500 0.000 0.000
0.841 0.841 0.683
0.000 0.500 0.000
0.000 0.000 0.000
```

Computed properties:
The crystal system is tetragonal. Its formation energy is -395.5 kJ/mol of formula units. As for the space group: I4/mmm (139). Its density is 8.97 Mg/m³.

***

# 18
Crystalline AcGaPd at its relaxed geometry. Source: Alexandria, functional GGA-PBE.

Cell and atoms, written as POSCAR:
```
AcGaPd
1.0
-2.631 4.103 -0.309
-1.792 1.433 -4.311
-4.804 -0.238 -0.848
Ga Ac Pd
1 1 1
direct
0.500 0.500 0.500
0.000 0.000 0.000
0.250 0.250 0.250
```

Computed properties:
The crystal system is cubic. Its formation energy is -162.7 kJ/mol of formula units. As for the space group: F-43m (216). Its density is 8.13 Mg/m³.

***

# 19
Crystalline Ac2Ga7Pd at its relaxed geometry. Source: Alexandria, functional GGA-PBE.

Cell and atoms, written as POSCAR:
```
Ac2Ga7Pd
1.0
4.530 0.000 0.000
0.000 4.530 0.000
0.000 0.000 10.502
Ga Ac Pd
7 2 1
direct
0.500 0.000 0.122
0.000 0.000 0.000
0.000 0.000 0.500
0.500 0.000 0.367
0.500 0.500 0.500
0.000 0.500 0.633
0.000 0.500 0.878
0.500 0.000 0.754
0.000 0.500 0.246
0.500 0.500 0.000
```

Computed properties:
The crystal system is tetragonal. Its formation energy is -567.9 kJ/mol of formula units. As for the space group: P-4m2 (115). Its density is 8.08 Mg/m³.